A plane-wave DFT calculation with GGA-PBE was carried out for an optimized crystal structure of Ca3Pr6Dy2.

Calculated values
- energy of formation from the pure elements (eV/atom) = 0.0427
- calculated volume (A^3/atom) = 36.27
- space group = No. 166

POSCAR file:
```
Ca3Pr6Dy2
1.0
1.848 1.067 33.729
-1.848 1.067 33.729
0.000 -2.134 33.729
Ca Pr Dy
3 6 2
direct
0.000 0.000 0.000
0.271 0.271 0.271
0.729 0.729 0.729
0.094 0.094 0.094
0.182 0.182 0.182
0.364 0.364 0.364
0.636 0.636 0.636
0.818 0.818 0.818
0.906 0.906 0.906
0.456 0.456 0.456
0.544 0.544 0.544
```



A plane-wave DFT calculation with GGA-PBE was carried out for an optimized crystal structure of CaPr2Dy.

Calculated values
- energy of formation from the pure elements (eV/atom) = 0.0324
- calculated volume (A^3/atom) = 35.95
- E above lowest polymorph (eV/atom) = 0.011
- space group = No. 160

POSCAR file:
```
CaPr2Dy
1.0
1.840 1.062 12.264
-1.840 1.062 12.264
0.000 -2.124 12.264
Ca Pr Dy
1 2 1
direct
0.000 0.000 0.000
0.578 0.578 0.578
0.755 0.755 0.755
0.166 0.166 0.166
```



A plane-wave DFT calculation with GGA-PBE was carried out for an optimized crystal structure of CaPr7Dy4.

Calculated values
- energy of formation from the pure elements (eV/atom) = 0.0315
- calculated volume (A^3/atom) = 34.87
- space group = No. 2

POSCAR file:
```
CaPr7Dy4
1.0
6.334 0.000 0.000
0.004 7.345 0.000
3.152 1.852 8.994
Ca Pr Dy
1 7 4
direct
0.000 0.000 0.000
0.000 0.500 0.000
0.001 0.662 0.339
0.492 0.915 0.340
0.497 0.258 0.001
0.503 0.742 0.999
0.508 0.085 0.660
0.999 0.338 0.661
0.003 0.169 0.338
0.499 0.585 0.665
0.501 0.415 0.335
0.997 0.831 0.662
```



A plane-wave DFT calculation with GGA-PBE was carried out for an optimized crystal structure of CaPr12Dy2.

Calculated values
- energy of formation from the pure elements (eV/atom) = 0.1464
- calculated volume (A^3/atom) = 36.57
- space group = No. 67

POSCAR file:
```
CaPr12Dy2
1.0
3.625 -5.897 0.000
3.625 5.897 0.000
0.000 0.000 25.659
Ca Pr Dy
2 24 4
direct
0.250 0.750 0.999
0.750 0.250 0.001
0.001 0.999 0.081
0.002 0.502 0.862
0.020 0.520 0.416
0.025 0.975 0.559
0.250 0.250 0.203
0.250 0.250 0.327
0.250 0.250 0.673
0.250 0.250 0.797
0.475 0.525 0.559
0.480 0.980 0.416
0.498 0.998 0.862
0.499 0.501 0.081
0.501 0.499 0.919
0.502 0.002 0.138
0.520 0.020 0.584
0.525 0.475 0.441
0.750 0.750 0.203
0.750 0.750 0.327
0.750 0.750 0.673
0.750 0.750 0.797
0.975 0.025 0.441
0.980 0.480 0.584
0.998 0.498 0.138
0.999 0.001 0.919
0.250 0.750 0.271
0.250 0.750 0.725
0.750 0.250 0.275
0.750 0.250 0.729
```



A plane-wave DFT calculation with GGA-PBE was carried out for an optimized crystal structure of CaPrDy.

Calculated values
- energy of formation from the pure elements (eV/atom) = 0.0444
- calculated volume (A^3/atom) = 35.99
- E above lowest polymorph (eV/atom) = 0.014
- space group = No. 107

POSCAR file:
```
CaPrDy
1.0
-1.852 1.852 7.865
1.852 -1.852 7.865
1.852 1.852 -7.865
Ca Pr Dy
1 1 1
direct
0.000 0.000 0.000
0.678 0.678 0.000
0.328 0.328 0.000
```



A plane-wave DFT calculation with GGA-PBE was carried out for an optimized crystal structure of CaPr8Dy5.

Calculated values
- energy of formation from the pure elements (eV/atom) = 0.2349
- calculated volume (A^3/atom) = 36.12
- space group = No. 82

POSCAR file:
```
CaPr8Dy5
1.0
-4.921 4.921 5.222
4.921 -4.921 5.222
4.921 4.921 -5.222
Ca Pr Dy
1 8 5
direct
0.000 0.000 0.000
0.095 0.676 0.765
0.277 0.522 0.103
0.324 0.090 0.419
0.419 0.174 0.897
0.478 0.581 0.755
0.670 0.905 0.581
0.826 0.723 0.245
0.910 0.330 0.235
0.025 0.213 0.593
0.250 0.750 0.500
0.568 0.975 0.188
0.620 0.432 0.407
0.787 0.380 0.812
```



A plane-wave DFT calculation with GGA-PBE was carried out for an optimized crystal structure of CaPr12Dy3.

Calculated values
- energy of formation from the pure elements (eV/atom) = 0.0226
- calculated volume (A^3/atom) = 35.47
- space group = No. 123

POSCAR file:
```
CaPr12Dy3
1.0
5.218 0.000 0.000
0.000 5.218 0.000
0.000 0.000 20.838
Ca Pr Dy
1 12 3
direct
0.000 0.000 0.000
0.000 0.500 0.130
0.000 0.500 0.376
0.000 0.500 0.624
0.000 0.500 0.870
0.500 0.000 0.130
0.500 0.000 0.376
0.500 0.000 0.624
0.500 0.000 0.870
0.500 0.500 0.000
0.500 0.500 0.251
0.500 0.500 0.500
0.500 0.500 0.749
0.000 0.000 0.251
0.000 0.000 0.500
0.000 0.000 0.749
```



A plane-wave DFT calculation with GGA-PBE was carried out for an optimized crystal structure of CaPr7Dy12.

Calculated values
- energy of formation from the pure elements (eV/atom) = 0.5991
- calculated volume (A^3/atom) = 37.09
- space group = No. 204

POSCAR file:
```
CaPr7Dy12
1.0
-5.703 5.703 5.703
5.703 -5.703 5.703
5.703 5.703 -5.703
Ca Pr Dy
1 7 12
direct
0.000 0.000 0.000
0.000 0.000 0.500
0.000 0.500 0.000
0.000 0.500 0.500
0.500 0.000 0.000
0.500 0.000 0.500
0.500 0.500 0.000
0.500 0.500 0.500
0.001 0.254 0.747
0.253 0.507 0.254
0.253 0.999 0.746
0.254 0.253 0.507
0.254 0.747 0.001
0.493 0.746 0.747
0.507 0.254 0.253
0.746 0.253 0.999
0.746 0.747 0.493
0.747 0.001 0.254
0.747 0.493 0.746
0.999 0.746 0.253
```